A relaxed structure of HgAs2SeO, computed with PBE-GGA.

For the excess energy over the best structure of this formula in the dataset, the calculation gives 0.000 eV/atom.

Structure (extended XYZ):
```
5
Lattice="4.095 0.000 0.000 0.000 4.095 0.000 0.000 0.000 7.054" Properties=species:S:1:pos:R:3 pbc="T T T"
Hg 0.000 0.000 0.000
As 0.000 2.047 3.527
As 2.047 0.000 3.527
Se 2.047 2.047 0.000
O 2.047 2.047 3.527
```



A relaxed structure of Ce2VC, computed with PBE-GGA.

The energy of formation comes out at 155 kJ/mol of formula units.

Structure (extended XYZ):
```
12
Lattice="3.344 0.000 0.000 -1.672 2.896 0.000 0.000 0.000 24.901" Properties=species:S:1:pos:R:3 pbc="T T T"
Ce 0.000 0.000 2.637
Ce 0.000 0.000 22.264
Ce 0.000 1.931 13.963
Ce 0.000 1.931 19.238
Ce 1.672 0.965 5.663
Ce 1.672 0.965 10.938
V 0.000 0.000 0.000
V 0.000 1.931 16.601
V 1.672 0.965 8.300
C 0.000 0.000 12.451
C 0.000 1.931 4.150
C 1.672 0.965 20.751
```



A relaxed structure of Zr2ZnCd, computed with PBE-GGA.

For the excess energy over the best structure of this formula in the dataset, the calculation gives 0.052 eV/atom. The energy of formation comes out at -50 kJ/mol of formula units.

Structure (extended XYZ):
```
4
Lattice="3.142 0.000 0.000 0.000 3.142 0.000 0.000 0.000 8.345" Properties=species:S:1:pos:R:3 pbc="T T T"
Zr 0.000 0.000 0.000
Zr 1.571 1.571 2.307
Zn 1.571 1.571 6.401
Cd 0.000 0.000 4.591
```



no.,M_tot (μB/f.u.)
1,0.000
2,2.598
3,0.000